[1]
# GaSnB2Os

A PBEsol-optimized structure of GaSnB2Os (SCAN, Alexandria via LeMat-Bulk).

Calculated values
The calculated density is 7.96 Mg/m³. Its electronic total energy is -27.132 eV per atom. Its formation energy is 669.0 meV per atom. As for the symmetry: No. 123.

a b c (Å): 4.0949 4.0949 4.9802
angles (deg): 90.00 90.00 90.00
Last column: nearest neighbours and their distance in Å.
Sites, in units of the cell vectors:
B: 0.0000 0.5000 0.0000  2 Os 2.05
B: 0.5000 0.0000 0.0000  2 Os 2.05
Os: 0.0000 0.0000 0.0000  4 B 2.05
Sn: 0.5000 0.5000 0.5000  4 Ga 2.90, 8 B 3.22
Ga: 0.0000 0.0000 0.5000  2 Os 2.49



[2]
# ScTl

A PBEsol-optimized structure of ScTl (SCAN, Alexandria via LeMat-Bulk).

Calculated values
The calculated density is 8.69 Mg/m³. Its electronic total energy is -43.423 eV per atom. Its formation energy is -125.2 meV per atom. As for the symmetry: No. 129.

a b c (Å): 3.4047 3.4047 8.2216
angles (deg): 90.00 90.00 90.00
Last column: nearest neighbours and their distance in Å.
Sites, in units of the cell vectors:
Sc: 0.5000 0.0000 0.1246  4 Tl 3.12, 8 Sc 3.16-3.40
Sc: 0.0000 0.5000 0.8754  4 Tl 3.12, 8 Sc 3.16-3.40
Tl: 0.5000 0.0000 0.6334  4 Sc 3.12, 8 Tl 3.26-3.40
Tl: 0.0000 0.5000 0.3666  4 Sc 3.12, 8 Tl 3.26-3.40



[3]
# CaTiSn2O

A PBEsol-optimized structure of CaTiSn2O (SCAN, Alexandria via LeMat-Bulk).

Calculated values
The calculated density is 4.07 Mg/m³. The raw formation energy comes out at 7.95 eV per formula unit. Its electronic total energy is -19.163 eV per atom. As for the symmetry: No. 123.

a b c (Å): 4.5823 5.5134 5.5134
angles (deg): 90.00 90.00 90.00
Last column: nearest neighbours and their distance in Å.
Sites, in units of the cell vectors:
Ca: 0.0000 0.0000 0.0000  2 Ti 2.29
Sn: 0.0000 0.0000 0.5000  2 Ca 2.76
Sn: 0.0000 0.5000 0.0000  2 Ca 2.76
O: 0.5000 0.5000 0.5000  8 Sn 3.58, 4 Ti 3.90
Ti: 0.5000 0.0000 0.0000  2 Ca 2.29



[4]
# IrRuRh2

A PBEsol-optimized structure of IrRuRh2 (SCAN, Alexandria via LeMat-Bulk).

Calculated values
The calculated density is 15.29 Mg/m³. Its electronic total energy is -43.382 eV per atom. Its formation energy is -15.1 meV per atom. As for the symmetry: No. 8.

a b c (Å): 2.6720 4.6350 4.6404
angles (deg): 99.46 106.73 90.00
Last column: nearest neighbours and their distance in Å.
Sites, in units of the cell vectors:
Ru: 0.4989 0.4974 0.9977  3 Ir 2.65-2.68, 7 Rh 2.67-2.68, 2 Ru 2.67
Ir: 0.7517 0.2542 0.5034  3 Ru 2.65-2.68, 7 Rh 2.66-2.69, 2 Ir 2.67
Rh: 0.0010 0.9998 0.0020  5 Rh 2.66-2.70, 4 Ru 2.67-2.68, 3 Ir 2.68-2.69
Rh: 0.2484 0.7487 0.4968  4 Ir 2.66-2.69, 5 Rh 2.66-2.70, 3 Ru 2.68



[5]
# BaLi3Sn

A PBEsol-optimized structure of BaLi3Sn (SCAN, Alexandria via LeMat-Bulk).

Calculated values
The calculated density is 3.27 Mg/m³. Its electronic total energy is -16.820 eV per atom. Its formation energy is -292.0 meV per atom. As for the symmetry: No. 221.

a b c (Å): 5.1982 5.1982 5.1982
angles (deg): 90.00 90.00 90.00
Last column: nearest neighbours and their distance in Å.
Sites, in units of the cell vectors:
Li: 0.0000 0.5000 0.0000  2 Sn 2.60
Li: 0.0000 0.0000 0.5000  2 Sn 2.60
Li: 0.5000 0.0000 0.0000  2 Sn 2.60
Ba: 0.5000 0.5000 0.5000  12 Li 3.68
Sn: 0.0000 0.0000 0.0000  6 Li 2.60



[6]
# CrCoPS2

A PBEsol-optimized structure of CrCoPS2 (SCAN, Alexandria via LeMat-Bulk).

Calculated values
The calculated density is 4.08 Mg/m³. The raw formation energy comes out at 3.16 eV per formula unit. Its electronic total energy is -12.436 eV per atom. As for the symmetry: No. 123.

a b c (Å): 4.3585 4.3585 4.4173
angles (deg): 90.00 90.00 90.00
Last column: nearest neighbours and their distance in Å.
Sites, in units of the cell vectors:
Cr: 0.0000 0.0000 0.0000  4 S 2.18, 2 P 2.21
S: 0.0000 0.5000 0.0000  2 Cr 2.18
S: 0.5000 0.0000 0.0000  2 Cr 2.18
Co: 0.5000 0.5000 0.5000  4 P 3.08, 8 S 3.10
P: 0.0000 0.0000 0.5000  2 Cr 2.21



[7]
# LiCr3N

A PBEsol-optimized structure of LiCr3N (SCAN, Alexandria via LeMat-Bulk).

Calculated values
The calculated density is 4.67 Mg/m³. The raw formation energy comes out at 10.53 eV per formula unit. Its electronic total energy is -11.260 eV per atom. As for the symmetry: No. 221.

a b c (Å): 3.9761 3.9761 3.9761
angles (deg): 90.00 90.00 90.00
Last column: nearest neighbours and their distance in Å.
Sites, in units of the cell vectors:
Cr: 0.0000 0.5000 0.0000  2 Li 1.99
Cr: 0.0000 0.0000 0.5000  2 Li 1.99
Cr: 0.5000 0.0000 0.0000  2 Li 1.99
Li: 0.0000 0.0000 0.0000  6 Cr 1.99
N: 0.5000 0.5000 0.5000  12 Cr 2.81



[8]
# RbV3O8

A PBEsol-optimized structure of RbV3O8 (SCAN, Alexandria via LeMat-Bulk).

Calculated values
The calculated density is 3.68 Mg/m³. The raw formation energy comes out at -30.48 eV per formula unit. Its electronic total energy is -12.795 eV per atom. As for the symmetry: No. 11.

a b c (Å): 4.9906 7.9159 8.4315
angles (deg): 90.00 90.00 97.45
Last column: nearest neighbours and their distance in Å.
Sites, in units of the cell vectors:
Rb: 0.9418 0.0620 0.7500  6 O 2.84-3.16
Rb: 0.0582 0.9380 0.2500  6 O 2.84-3.16
V: 0.5588 0.3190 0.4447  2 O 1.61-1.75
V: 0.4412 0.6810 0.9447  2 O 1.61-1.75
V: 0.4412 0.6810 0.5553  2 O 1.61-1.75
V: 0.5588 0.3190 0.0553  2 O 1.61-1.75
V: 0.9249 0.5717 0.7500  1 O 1.60
V: 0.0751 0.4283 0.2500  1 O 1.60
O: 0.8842 0.2745 0.3985  2 V 1.75-1.91
O: 0.1158 0.7255 0.8985  2 V 1.75-1.91
O: 0.1158 0.7255 0.6015  2 V 1.75-1.91
O: 0.8842 0.2745 0.1015  2 V 1.75-1.91
O: 0.5715 0.8284 0.4373  1 V 1.61
O: 0.4285 0.1716 0.9373  1 V 1.61
O: 0.4285 0.1716 0.5627  1 V 1.61
O: 0.5715 0.8284 0.0627  1 V 1.61
O: 0.8843 0.5762 0.2500  1 V 1.60
O: 0.1157 0.4238 0.7500  1 V 1.60
O: 0.4146 0.2489 0.2500  2 V 1.85
O: 0.5854 0.7511 0.7500  2 V 1.85
O: 0.3178 0.4957 0.0877  3 V 1.86-1.98
O: 0.6822 0.5043 0.5877  3 V 1.86-1.98
O: 0.6822 0.5043 0.9123  3 V 1.86-1.98
O: 0.3178 0.4957 0.4123  3 V 1.86-1.98



[9]
# Zr2FeRuSe

A PBEsol-optimized structure of Zr2FeRuSe (SCAN, Alexandria via LeMat-Bulk).

Calculated values
The calculated density is 7.05 Mg/m³. The raw formation energy comes out at 1.61 eV per formula unit. Its electronic total energy is -26.564 eV per atom. As for the symmetry: No. 123.

a b c (Å): 4.1002 4.9007 4.9007
angles (deg): 90.00 90.00 90.00
Last column: nearest neighbours and their distance in Å.
Sites, in units of the cell vectors:
Ru: 0.5000 0.5000 0.5000  8 Zr 3.19, 4 Fe 3.47
Se: 0.0000 0.0000 0.0000  2 Fe 2.05
Zr: 0.0000 0.0000 0.5000  2 Se 2.45
Zr: 0.0000 0.5000 0.0000  2 Se 2.45
Fe: 0.5000 0.0000 0.0000  2 Se 2.05



[10]
# CaTiFe2S

A PBEsol-optimized structure of CaTiFe2S (SCAN, Alexandria via LeMat-Bulk).

Calculated values
The calculated density is 4.03 Mg/m³. The raw formation energy comes out at 9.81 eV per formula unit. Its electronic total energy is -12.353 eV per atom. As for the symmetry: No. 123.

a b c (Å): 4.2773 4.2773 5.2187
angles (deg): 90.00 90.00 90.00
Last column: nearest neighbours and their distance in Å.
Sites, in units of the cell vectors:
S: 0.5000 0.5000 0.5000  4 Ti 3.02, 8 Fe 3.37
Ca: 0.0000 0.0000 0.0000  4 Fe 2.14
Fe: 0.0000 0.5000 0.0000  2 Ca 2.14
Fe: 0.5000 0.0000 0.0000  2 Ca 2.14
Ti: 0.0000 0.0000 0.5000  2 Ca 2.61



[11]
# TcNi2

A PBEsol-optimized structure of TcNi2 (SCAN, Alexandria via LeMat-Bulk).

Calculated values
The calculated density is 10.30 Mg/m³. Its electronic total energy is -22.377 eV per atom. Its formation energy is 91.8 meV per atom. As for the symmetry: No. 12.

a b c (Å): 2.5766 4.8200 6.0122
angles (deg): 104.65 90.00 105.50
Last column: nearest neighbours and their distance in Å.
Sites, in units of the cell vectors:
Ni: 0.9714 0.9428 0.7026  7 Ni 2.49-2.63, 5 Tc 2.51-2.56
Ni: 0.3598 0.7196 0.9697  9 Ni 2.49-2.58, 3 Tc 2.50-2.53
Ni: 0.6402 0.2804 0.0303  9 Ni 2.49-2.58, 3 Tc 2.50-2.53
Ni: 0.0286 0.0572 0.2974  7 Ni 2.49-2.63, 5 Tc 2.51-2.56
Tc: 0.3103 0.6206 0.3588  8 Ni 2.50-2.56, 4 Tc 2.58-2.61
Tc: 0.6897 0.3794 0.6412  8 Ni 2.50-2.56, 4 Tc 2.58-2.61



[12]
# TcAuSe2N

A PBEsol-optimized structure of TcAuSe2N (SCAN, Alexandria via LeMat-Bulk).

Calculated values
The calculated density is 7.92 Mg/m³. The raw formation energy comes out at 6.61 eV per formula unit. Its electronic total energy is -29.410 eV per atom. As for the symmetry: No. 123.

a b c (Å): 3.6709 5.1652 5.1652
angles (deg): 90.00 90.00 90.00
Last column: nearest neighbours and their distance in Å.
Sites, in units of the cell vectors:
Au: 0.0000 0.0000 0.0000  2 N 1.84
Tc: 0.5000 0.5000 0.5000  8 Se 3.17
Se: 0.0000 0.0000 0.5000  2 Au 2.58
Se: 0.0000 0.5000 0.0000  2 Au 2.58
N: 0.5000 0.0000 0.0000  2 Au 1.84